No. 1
VASP calculation (PBE-GGA) on an optimized crystal structure of SrLiZn2.

Values from the calculation:
As for the polymorph energy (0 for the lowest one): 0.005 eV/atom. The calculation puts the raw total energy at -1.71 eV/atom. The value obtained for the formation energy is -0.176 eV/atom.

Unit cell a=7.824 b=4.309 c=11.308 alpha=90.00 beta=90.00 gamma=90.00
Space group Pnma (No. 62)
Symmetry-distinct sites (fractional):
Sr 0.235 0.250 0.199 (multiplicity 4)
Li 0.065 0.750 0.424 (multiplicity 4)
Zn 0.069 0.250 0.910 (multiplicity 4)
Zn 0.230 0.750 0.981 (multiplicity 4)

***

No. 2
VASP calculation (PBE-GGA) on an optimized crystal structure of SrLi4Zn.

Values from the calculation:
As for the polymorph energy (0 for the lowest one): 0.066 eV/atom. The calculation puts the raw total energy at -1.75 eV/atom. The value obtained for the formation energy is 0.021 eV/atom.

Unit cell a=8.133 b=8.133 c=8.133 alpha=90.00 beta=90.00 gamma=90.00
Space group F-43m (No. 216)
Symmetry-distinct sites (fractional):
Sr 0.000 0.000 0.000 (multiplicity 4)
Li 0.122 0.122 0.622 (multiplicity 16)
Zn 0.250 0.250 0.250 (multiplicity 4)

***

No. 3
VASP calculation (PBE-GGA) on an optimized crystal structure of Sr3Li7Zn4.

Values from the calculation:
The calculation puts the raw total energy at -1.78 eV/atom. The value obtained for the formation energy is -0.095 eV/atom.

Unit cell a=16.984 b=4.765 c=10.222 alpha=90.00 beta=125.34 gamma=90.00
Space group C2/m (No. 12)
Symmetry-distinct sites (fractional):
Sr 0.000 0.000 0.000 (multiplicity 2)
Sr 0.196 0.500 0.695 (multiplicity 4)
Li 0.000 0.000 0.500 (multiplicity 2)
Li 0.000 0.500 0.283 (multiplicity 4)
Li 0.145 0.000 0.416 (multiplicity 4)
Li 0.184 0.500 0.023 (multiplicity 4)
Zn 0.115 0.000 0.827 (multiplicity 4)
Zn 0.164 0.500 0.295 (multiplicity 4)

***

No. 4
VASP calculation (PBE-GGA) on an optimized crystal structure of SrLiZn17.

Values from the calculation:
The calculation puts the raw total energy at -1.43 eV/atom. The value obtained for the formation energy is -0.101 eV/atom.

Unit cell a=9.1056 b=9.1056 c=13.2156 alpha=90.00 beta=90.00 gamma=120.00
Space group R3m (No. 160, hexagonal axes)
Symmetry-distinct sites (fractional):
Sr 0.0000 0.0000 0.0000 (multiplicity 3)
Li 0.0000 0.0000 0.6766 (multiplicity 3)
Zn 0.0000 0.0000 0.2456 (multiplicity 3)
Zn 0.0000 0.0000 0.4487 (multiplicity 3)
Zn 0.0039 0.5019 0.1889 (multiplicity 9)
Zn 0.0055 0.3007 0.3404 (multiplicity 18)
Zn 0.0090 0.5045 0.8378 (multiplicity 9)
Zn 0.0120 0.5060 0.4927 (multiplicity 9)